Record 1
## TiAs3 (PBE)

Data for a geometry-optimized TiAs3 structure.

The calculated density is 6.11 g/cm³. Its energy is -5.517 eV/atom.

```
8
Lattice="5.9097 0.0000 0.0000 -2.9549 5.1180 0.0000 0.0000 0.0000 4.8993" Properties=species:S:1:pos:R:3 pbc="T T T"
Ti 0.0000 3.4120 1.2248
Ti 2.9549 1.7060 3.6745
As 0.0000 1.8971 3.6745
As -1.3120 4.1695 3.6745
As 1.6429 0.9485 1.2248
As 1.3120 4.1695 3.6745
As 4.2668 0.9485 1.2248
As 2.9549 3.2209 1.2248
```

Record 2
## Ti4As3 (PBE)

Data for a geometry-optimized Ti4As3 structure.

The calculated density is 6.08 g/cm³. Its energy is -7.399 eV/atom.

```
14
Lattice="-3.8454 3.8454 3.8454 3.8454 -3.8454 3.8454 3.8454 3.8454 -3.8454" Properties=species:S:1:pos:R:3 pbc="T T T"
Ti 2.4999 1.3455 -1.3455
Ti 4.4226 -0.5772 0.5772
Ti 1.3455 -1.3455 2.4999
Ti 1.3455 1.3455 1.3455
Ti -1.3455 2.4999 1.3455
Ti 0.5772 4.4226 -0.5772
Ti -0.5772 0.5772 4.4226
Ti 3.2682 3.2682 3.2682
As 3.8454 -1.9227 2.8840
As 2.8840 3.8454 -1.9227
As 3.8454 1.9227 0.9613
As 1.9227 0.9613 3.8454
As 0.9613 3.8454 1.9227
As -1.9227 2.8840 3.8454
```

Record 3
## Ti5As2 (PBE)

Data for a geometry-optimized Ti5As2 structure.

The calculated density is 5.56 g/cm³. Its energy is -7.604 eV/atom.

```
14
Lattice="6.6246 -2.5627 0.0000 6.6246 2.5627 0.0000 -0.5437 0.0000 6.8450" Properties=species:S:1:pos:R:3 pbc="T T T"
Ti 2.8317 0.5302 2.0774
Ti 6.2168 1.7323 5.1338
Ti 5.3263 0.7508 0.4582
Ti 2.5598 -0.5302 5.4999
Ti 7.6510 0.7508 2.9643
Ti 5.0545 -0.7508 3.8807
Ti 10.1456 0.5302 1.3451
Ti 7.3791 -0.7508 6.3868
Ti 6.4887 -1.7323 1.7113
Ti 9.8738 -0.5302 4.7677
As 5.0035 1.6737 2.9002
As 7.9738 1.6737 0.5223
As 4.7316 -1.6737 6.3227
As 7.7020 -1.6737 3.9448
```

Record 4
## Ti2Tl2As (PBE)

Data for a geometry-optimized Ti2Tl2As structure.

The calculated density is 9.22 g/cm³. Its energy is -5.246 eV/atom.

```
10
Lattice="6.6859 0.0000 0.0000 0.0000 6.6859 0.0000 0.0000 0.0000 4.6668" Properties=species:S:1:pos:R:3 pbc="T T T"
Ti 1.0482 2.2948 0.0000
Ti 2.2948 5.6377 0.0000
Ti 4.3912 1.0482 0.0000
Ti 5.6377 4.3912 0.0000
Tl 1.0819 4.4249 2.3334
Tl 2.2610 1.0819 2.3334
Tl 4.4249 5.6040 2.3334
Tl 5.6040 2.2610 2.3334
As 0.0000 0.0000 0.0000
As 3.3430 3.3430 0.0000
```

Record 5
## Ti2TlAs2 (PBE)

Data for a geometry-optimized Ti2TlAs2 structure.

The value obtained for the energy above the most stable polymorph in this dataset is 0 meV per atom. The calculated density is 8.05 g/cm³. Its energy is -5.919 eV/atom.

```
10
Lattice="7.3769 0.0000 0.0000 0.0000 7.3769 0.0000 0.0000 0.0000 3.4100" Properties=species:S:1:pos:R:3 pbc="T T T"
Ti 1.0260 2.6625 0.0000
Ti 2.6625 6.3509 0.0000
Ti 4.7144 1.0260 0.0000
Ti 6.3509 4.7144 0.0000
Tl 0.0000 0.0000 0.0000
Tl 3.6885 3.6885 0.0000
As 1.0914 4.7799 1.7050
As 2.5971 1.0914 1.7050
As 4.7799 6.2855 1.7050
As 6.2855 2.5971 1.7050
```

Record 6
## Ti2TlAs2 (PBE)

Data for a geometry-optimized Ti2TlAs2 structure.

The value obtained for the energy above the most stable polymorph in this dataset is 113 meV per atom. The calculated density is 7.76 g/cm³. Its energy is -5.806 eV/atom.

```
10
Lattice="7.6005 0.0000 0.0000 0.0000 7.6005 0.0000 0.0000 0.0000 3.3331" Properties=species:S:1:pos:R:3 pbc="T T T"
Ti 1.0389 2.7614 0.0000
Ti 2.7614 6.5616 0.0000
Ti 4.8391 1.0389 0.0000
Ti 6.5616 4.8391 0.0000
Tl 0.0000 0.0000 1.6666
Tl 3.8003 3.8003 1.6666
As 1.0693 4.8696 1.6666
As 2.7310 1.0693 1.6666
As 4.8696 6.5312 1.6666
As 6.5312 2.7310 1.6666
```

Record 7
## TiTlAs3 (PBE)

Data for a geometry-optimized TiTlAs3 structure.

The value obtained for the energy above the most stable polymorph in this dataset is 0 meV per atom. The calculated density is 6.46 g/cm³. Its energy is -4.869 eV/atom.

```
5
Lattice="4.9689 0.0000 0.0000 0.0000 4.9689 0.0000 0.0000 0.0000 4.9689" Properties=species:S:1:pos:R:3 pbc="T T T"
Ti 0.0000 0.0000 0.0000
Tl 2.4844 2.4844 2.4844
As 0.0000 0.0000 2.4844
As 0.0000 2.4844 0.0000
As 2.4844 0.0000 0.0000
```

Record 8
## TiTl2AsW (PBE)

Data for a geometry-optimized TiTl2AsW structure.

The calculated density is 8.67 g/cm³. Its energy is -4.967 eV/atom.

```
5
Lattice="5.4223 0.0000 0.0000 0.0000 5.4223 0.0000 0.0000 0.0000 4.6579" Properties=species:S:1:pos:R:3 pbc="T T T"
Ti 0.0000 0.0000 0.0000
Tl 0.0000 2.7112 2.3290
Tl 2.7112 0.0000 2.3290
As 2.7112 2.7112 0.0000
W 0.0000 0.0000 2.3290
```

Record 9
## ZrTiTl2As (PBE)

Data for a geometry-optimized ZrTiTl2As structure.

The calculated density is 7.41 g/cm³. Its energy is -4.438 eV/atom.

```
5
Lattice="5.3296 0.0000 0.0000 0.0000 5.3296 0.0000 0.0000 0.0000 4.9143" Properties=species:S:1:pos:R:3 pbc="T T T"
Zr 0.0000 0.0000 0.0000
Ti 0.0000 0.0000 2.4571
Tl 0.0000 2.6648 2.4571
Tl 2.6648 0.0000 2.4571
As 2.6648 2.6648 0.0000
```

Record 10
## TmTiAs2 (PBE)

Data for a geometry-optimized TmTiAs2 structure.

The value obtained for the energy above the most stable polymorph in this dataset is 0 meV per atom. The calculated density is 7.50 g/cm³. Its energy is -6.553 eV/atom.

```
4
Lattice="1.9224 1.1099 6.3387 -1.9224 1.1099 6.3387 0.0000 -2.2198 6.3387" Properties=species:S:1:pos:R:3 pbc="T T T"
Tm 0.0000 0.0000 0.0000
Ti 0.0000 0.0000 9.5081
As 0.0000 0.0000 4.5973
As 0.0000 0.0000 14.4190
```

Record 11
## TmTiAs2 (PBE)

Data for a geometry-optimized TmTiAs2 structure.

The value obtained for the energy above the most stable polymorph in this dataset is 86 meV per atom. The calculated density is 7.41 g/cm³. Its energy is -6.466 eV/atom.

```
4
Lattice="1.8977 1.0956 6.5865 -1.8977 1.0956 6.5865 0.0000 -2.1912 6.5865" Properties=species:S:1:pos:R:3 pbc="T T T"
Tm 0.0000 0.0000 0.0000
Ti 0.0000 0.0000 16.3165
As 0.0000 0.0000 4.6870
As 0.0000 0.0000 8.3697
```

Record 12
## TmTiAs (PBE)

Data for a geometry-optimized TmTiAs structure.

The calculated density is 8.24 g/cm³. Its energy is -6.660 eV/atom.

```
6
Lattice="3.9492 0.0000 0.0000 0.0000 3.9492 0.0000 0.0000 0.0000 7.5425" Properties=species:S:1:pos:R:3 pbc="T T T"
Tm 0.9873 0.9873 1.1140
Tm 2.9619 2.9619 6.4285
Ti 0.9873 2.9619 3.7712
Ti 2.9619 0.9873 3.7712
As 0.9873 0.9873 5.6480
As 2.9619 2.9619 1.8945
```

Record 13
## U4TiAs5 (PBE)

Data for a geometry-optimized U4TiAs5 structure.

The calculated density is 10.02 g/cm³. Its energy is -8.344 eV/atom.

```
10
Lattice="-1.9744 2.8502 10.1240 1.9744 -2.8502 10.1240 1.9744 2.8502 -10.1240" Properties=species:S:1:pos:R:3 pbc="T T T"
U 0.0000 0.0000 2.0195
U 0.0000 0.0000 6.2082
U 0.0000 0.0000 14.0399
U 0.0000 0.0000 18.2285
Ti 0.0000 0.0000 10.1240
As 1.9744 0.0000 0.0000
As 1.9744 0.0000 4.1090
As 1.9744 0.0000 8.3220
As 0.0000 2.8502 1.8020
As 0.0000 2.8502 6.0150
```

Record 14
## UTi2As3 (PBE)

Data for a geometry-optimized UTi2As3 structure.

The calculated density is 7.80 g/cm³. Its energy is -7.569 eV/atom.

```
12
Lattice="3.6360 0.0000 0.0000 0.0000 9.9716 0.0000 0.0000 0.0000 6.5555" Properties=species:S:1:pos:R:3 pbc="T T T"
U 0.0000 1.4164 0.0000
U 0.0000 8.5552 3.2778
Ti 0.0000 2.1119 3.2999
Ti 0.0000 7.8597 0.0221
Ti 1.8180 4.9638 3.3527
Ti 1.8180 5.0079 0.0749
As 0.0000 3.9504 5.0243
As 0.0000 6.0213 1.7465
As 1.8180 0.5929 4.4074
As 1.8180 2.9435 1.6787
As 1.8180 7.0281 4.9564
As 1.8180 9.3787 1.1296
```

Record 15
## UTiAs (PBE)

Data for a geometry-optimized UTiAs structure.

The calculated density is 11.32 g/cm³. Its energy is -8.483 eV/atom.

```
6
Lattice="3.4730 0.0000 0.0000 0.0000 3.4730 0.0000 0.0000 0.0000 8.7749" Properties=species:S:1:pos:R:3 pbc="T T T"
U 0.8682 0.8682 0.5340
U 2.6047 2.6047 8.2409
Ti 0.8682 0.8682 3.6146
Ti 2.6047 2.6047 5.1602
As 0.8682 0.8682 6.3111
As 2.6047 2.6047 2.4638
```

Record 16
## TiV2As (PBE)

Data for a geometry-optimized TiV2As structure.

The value obtained for the energy above the most stable polymorph in this dataset is 548 meV per atom. The calculated density is 5.72 g/cm³. Its energy is -7.500 eV/atom.

```
8
Lattice="-3.6313 3.6313 2.4733 3.6313 -3.6313 2.4733 3.6313 3.6313 -2.4733" Properties=species:S:1:pos:R:3 pbc="T T T"
Ti 0.0000 0.0000 0.0000
Ti 0.0000 3.6313 1.2366
V 1.8157 -1.4914 1.8550
V 2.1399 1.8157 0.6183
V 1.8157 5.1227 -0.6183
V 1.4914 1.8157 3.0916
As 3.6313 0.0000 1.2366
As 0.0000 0.0000 2.4733
```

Record 17
## Ti2VAs2 (PBE)

Data for a geometry-optimized Ti2VAs2 structure.

The value obtained for the energy above the most stable polymorph in this dataset is 4 meV per atom. The calculated density is 5.91 g/cm³. Its energy is -7.526 eV/atom.

```
10
Lattice="1.7619 -7.5357 0.0000 1.7619 7.5357 0.0000 0.0000 0.0000 6.2763" Properties=species:S:1:pos:R:3 pbc="T T T"
Ti 1.7619 7.0775 3.1382
Ti 1.7619 4.7594 0.6105
Ti 1.7619 -4.7594 3.7486
Ti 1.7619 -7.0775 0.0000
V 1.7619 1.5300 1.9605
V 1.7619 -1.5300 5.0987
As 1.7619 4.6357 4.1274
As 1.7619 0.9814 4.4428
As 1.7619 -0.9814 1.3046
As 1.7619 -4.6357 0.9893
```

Record 18
## Ti2VAs (PBE)

Data for a geometry-optimized Ti2VAs structure.

The value obtained for the energy above the most stable polymorph in this dataset is 144 meV per atom. The calculated density is 6.18 g/cm³. Its energy is -7.691 eV/atom.

```
4
Lattice="0.0000 3.0986 3.0986 3.0986 0.0000 3.0986 3.0986 3.0986 0.0000" Properties=species:S:1:pos:R:3 pbc="T T T"
Ti 1.5493 1.5493 1.5493
Ti 4.6478 4.6478 4.6478
V 0.0000 0.0000 0.0000
As 3.0986 3.0986 3.0986
```

Record 19
## TiVAs (PBE)

Data for a geometry-optimized TiVAs structure.

The calculated density is 6.42 g/cm³. Its energy is -7.971 eV/atom.

```
6
Lattice="3.5967 0.0000 0.0000 0.0000 3.5967 0.0000 0.0000 0.0000 6.9440" Properties=species:S:1:pos:R:3 pbc="T T T"
Ti 0.8992 0.8992 0.9906
Ti 2.6976 2.6976 5.9534
V 0.8992 2.6976 3.4720
V 2.6976 0.8992 3.4720
As 0.8992 0.8992 5.3219
As 2.6976 2.6976 1.6221
```

Record 20
## Ti2VAs2 (PBE)

Data for a geometry-optimized Ti2VAs2 structure.

The value obtained for the energy above the most stable polymorph in this dataset is 0 meV per atom. The calculated density is 6.34 g/cm³. Its energy is -7.530 eV/atom.

```
10
Lattice="6.6297 0.0000 0.0000 0.0000 6.6297 0.0000 0.0000 0.0000 3.5320" Properties=species:S:1:pos:R:3 pbc="T T T"
Ti 1.0346 2.2803 0.0000
Ti 2.2803 5.5951 0.0000
Ti 4.3495 1.0346 0.0000
Ti 5.5951 4.3495 0.0000
V 0.0000 0.0000 1.7660
V 3.3149 3.3149 1.7660
As 0.9803 4.2951 1.7660
As 2.3346 0.9803 1.7660
As 4.2951 5.6494 1.7660
As 5.6494 2.3346 1.7660
```